Compound: TaC3
Source: Alexandria
Functional: PBE
Structure: relaxed

Cell lengths 3.7681, 3.7681, 3.7681 Å; angles 60.00, 60.00, 60.00 degrees
With the nearest neighbours (Å) after each atom.
Fractional positions:
1 Ta 0.0000 0.0000 0.0000  8 C 2.31
2 C 0.2500 0.2500 0.2500  4 Ta 2.31, 4 C 2.31
3 C 0.5000 0.5000 0.5000  8 C 2.31
4 C 0.7500 0.7500 0.7500  4 Ta 2.31, 4 C 2.31

Properties
**Final energy**: -29.88 eV/cell
**Space group**: No. 225
**E_form**: 9.64 eV per formula unit